The following is a PBE calculation of a relaxed structure of SrInGa2Co, from Alexandria.

Cell: 4.692 4.692 4.959 Å, 90.00 90.00 90.00°
Positions (direct):
Sr 0.500 0.500 0.500
Ga 0.000 0.500 0.000
Ga 0.500 0.000 0.000
In 0.000 0.000 0.500
Co 0.000 0.000 0.000

Total magnetic moment ... 0.00 μB/atom
Formation enthalpy at 0 K ... -0.276 eV per atom
Crystal system ... tetragonal